This record from the Alexandria database describes a relaxed structure of HAuCl3. The functional is GGA-PBEsol.

a = 4.863 Å, b = 4.863 Å, c = 4.863 Å
α = 90.00°, β = 90.00°, γ = 90.00°
Site moments in Bohr magnetons follow the coordinates.
Fractional positions:
H 0.500 0.500 0.500  0.33
Au 0.000 0.000 0.000  -0.01
Cl 0.000 0.500 0.000  0.00
Cl 0.000 0.000 0.500  0.00
Cl 0.500 0.000 0.000  0.00

Values from the calculation:
**Fermi-level density of states**: 3.3 states/eV/cell
**Magnetic moment**: 0.167 μB/atom
**Symmetry**: Pm-3m, No. 221
**E**: -11.2 eV per cell

---

This record from the Alexandria database describes a relaxed structure of HAu2Cl. The functional is GGA-PBEsol.

a = 4.399 Å, b = 4.399 Å, c = 4.399 Å
α = 60.00°, β = 60.00°, γ = 60.00°
Fractional positions:
H 0.000 0.000 0.000
Au 0.250 0.250 0.250
Au 0.750 0.750 0.750
Cl 0.500 0.500 0.500

Values from the calculation:
**Fermi-level density of states**: 1.6 states/eV/cell
**Magnetic moment**: 0.018 μB/atom
**Symmetry**: Fm-3m, No. 225
**E**: -9.9 eV per cell

---

This record from the Alexandria database describes a relaxed structure of HfPAuCl2. The functional is GGA-PBEsol.

a = 4.745 Å, b = 4.745 Å, c = 5.179 Å
α = 90.00°, β = 90.00°, γ = 90.00°
Fractional positions:
Hf 0.000 0.000 0.000
Au 0.500 0.500 0.500
P 0.000 0.000 0.500
Cl 0.000 0.500 0.000
Cl 0.500 0.000 0.000

Values from the calculation:
**Fermi-level density of states**: 1.3 states/eV/cell
**Formation energy without anion corrections**: -0.296 eV per atom
**Magnetic moment**: 0.000 μB/atom
**Symmetry**: P4/mmm, No. 123
**E**: -25.7 eV per cell

---

This record from the Alexandria database describes a relaxed structure of Hg4AuCl. The functional is GGA-PBEsol.

a = 5.759 Å, b = 5.759 Å, c = 5.759 Å
α = 60.00°, β = 60.00°, γ = 60.00°
Fractional positions:
Au 0.750 0.750 0.750
Cl 0.000 0.000 0.000
Hg 0.375 0.375 0.375
Hg 0.375 0.375 0.874
Hg 0.874 0.375 0.375
Hg 0.375 0.874 0.375

Values from the calculation:
**Fermi-level density of states**: 3.4 states/eV/cell
**Formation energy without anion corrections**: 0.202 eV per atom
**Magnetic moment**: 0.000 μB/atom
**Symmetry**: F-43m, No. 216
**E**: -7.0 eV per cell

---

This record from the Alexandria database describes a relaxed structure of HgAuCl4. The functional is GGA-PBEsol.

a = 5.674 Å, b = 5.674 Å, c = 5.674 Å
α = 60.00°, β = 60.00°, γ = 60.00°
Site moments in Bohr magnetons follow the coordinates.
Fractional positions:
Au 0.000 0.000 0.000  0.01
Cl 0.375 0.375 0.375  0.16
Cl 0.375 0.375 0.875  0.16
Cl 0.875 0.375 0.375  0.16
Cl 0.375 0.875 0.375  0.16
Hg 0.750 0.750 0.750  0.08

Values from the calculation:
**Fermi-level density of states**: 7.6 states/eV/cell
**Formation energy without anion corrections**: 0.724 eV per atom
**Magnetic moment**: 0.143 μB/atom
**Symmetry**: F-43m, No. 216
**E**: -8.2 eV per cell

---

This record from the Alexandria database describes a relaxed structure of Hg3AuCl. The functional is GGA-PBEsol.

a = 5.307 Å, b = 5.307 Å, c = 5.307 Å
α = 90.00°, β = 90.00°, γ = 90.00°
Fractional positions:
Au 0.500 0.500 0.500
Hg 0.000 0.500 0.000
Hg 0.000 0.000 0.500
Hg 0.500 0.000 0.000
Cl 0.000 0.000 0.000

Values from the calculation:
**Fermi-level density of states**: 2.4 states/eV/cell
**Formation energy without anion corrections**: 0.685 eV per atom
**Magnetic moment**: 0.000 μB/atom
**Symmetry**: Pm-3m, No. 221
**E**: -4.2 eV per cell

---

What did the fourth record say?
This record from the Alexandria database describes a relaxed structure of Hg4AuCl. The functional is GGA-PBEsol.

a = 5.759 Å, b = 5.759 Å, c = 5.759 Å
α = 60.00°, β = 60.00°, γ = 60.00°
Fractional positions:
Au 0.750 0.750 0.750
Cl 0.000 0.000 0.000
Hg 0.375 0.375 0.375
Hg 0.375 0.375 0.874
Hg 0.874 0.375 0.375
Hg 0.375 0.874 0.375

Values from the calculation:
**Fermi-level density of states**: 3.4 states/eV/cell
**Formation energy without anion corrections**: 0.202 eV per atom
**Magnetic moment**: 0.000 μB/atom
**Symmetry**: F-43m, No. 216
**E**: -7.0 eV per cell

---

The highest E belongs to which entry? Hg3AuCl

---

Which formula does entry 5 have? HgAuCl4